# Sm2ThInC

Crystalline Sm2ThInC at its relaxed geometry (PBE, the Alexandria database).

Cell: 5.0858 5.0858 5.0458 Å, 90.00 90.00 90.00°
Closest atoms and distances in Å follow each position.
Sites, in units of the cell vectors:
1 Sm 0.0000 0.5000 0.0000  2 C 2.54
2 Sm 0.5000 0.0000 0.0000  2 C 2.54
3 Th 0.0000 0.0000 0.5000  2 C 2.52
4 In 0.5000 0.5000 0.5000  8 Sm 3.58, 4 Th 3.60
5 C 0.0000 0.0000 0.0000  2 Th 2.52, 4 Sm 2.54

Calculated values
The value obtained for the density of states at the Fermi level is 0.60 states/eV per atom. Its formation energy is -0.367 eV/atom. The value obtained for the magnetization is 0.0 μB/f.u.